Here is a geometry-optimized Ca2PaPd2O6 structure from Alexandria via LeMat-Bulk. Energies are from PBE.

Unit cell a=5.619 b=5.619 c=5.672 alpha=90.00 beta=90.00 gamma=120.00
Site moments in Bohr magnetons follow the coordinates.
Element x y z (fractional)
O 0.320 0.320 0.761  0.17
O 0.680 0.680 0.239  0.17
O 0.000 0.680 0.761  0.17
O 0.680 0.000 0.761  0.17
O 0.000 0.320 0.239  0.17
O 0.320 0.000 0.239  0.17
Pd 0.667 0.333 0.000  0.93
Pd 0.333 0.667 0.000  0.93
Ca 0.667 0.333 0.500  0.00
Ca 0.333 0.667 0.500  0.00
Pa 0.000 0.000 0.000  -0.05

Properties
total moment	3.005	μB per cell
ρ	6.639	g cm⁻³
DOS(E_F)	0.495	states/eV/atom
formation energy without anion corrections	-2.077	eV/atom

Here is a geometry-optimized CaPmPa2O8 structure from Alexandria via LeMat-Bulk. Energies are from PBE.

Unit cell a=5.492 b=5.492 c=6.643 alpha=114.41 beta=114.41 gamma=90.00
Element x y z (fractional)
O 0.144 0.126 0.749
O 0.377 0.395 0.251
O 0.377 0.856 0.251
O 0.605 0.126 0.749
O 0.874 0.856 0.251
O 0.605 0.623 0.749
O 0.144 0.623 0.749
O 0.874 0.395 0.251
Pa 0.250 0.750 0.500
Pa 0.500 0.500 0.000
Ca 0.000 0.000 0.000
Pm 0.750 0.250 0.500

Properties
total moment	0.003	μB per cell
ρ	7.918	g cm⁻³
DOS(E_F)	0.961	states/eV/atom
formation energy without anion corrections	-3.369	eV/atom

Here is a geometry-optimized Ca2PrPaO6 structure from Alexandria via LeMat-Bulk. Energies are from PBE.

Unit cell a=5.964 b=5.964 c=6.201 alpha=61.26 beta=61.26 gamma=60.00
Element x y z (fractional)
Pr 0.807 0.807 0.578
O 0.416 0.687 0.770
O 0.597 0.206 0.248
O 0.127 0.416 0.770
O 0.206 0.948 0.248
O 0.948 0.597 0.249
O 0.687 0.127 0.770
Ca 0.025 0.025 0.924
Ca 0.531 0.531 0.407
Pa 0.316 0.316 0.052

Properties
total moment	0.000	μB per cell
ρ	5.729	g cm⁻³
DOS(E_F)	0.000	states/eV/atom
formation energy without anion corrections	-3.329	eV/atom

Here is a geometry-optimized Ca2PaPtO8 structure from Alexandria via LeMat-Bulk. Energies are from PBE.

Unit cell a=4.538 b=5.234 c=6.859 alpha=90.01 beta=90.00 gamma=91.95
Element x y z (fractional)
O 0.415 0.115 0.000
O 0.620 0.763 0.500
O 0.081 0.762 0.225
O 0.919 0.238 0.225
O 0.585 0.885 0.000
O 0.081 0.762 0.775
O 0.919 0.238 0.775
O 0.380 0.237 0.500
Pa 0.000 0.000 0.500
Ca 0.500 0.500 0.252
Ca 0.500 0.500 0.748
Pt 0.000 0.000 0.000

Properties
total moment	0.000	μB per cell
ρ	6.468	g cm⁻³
DOS(E_F)	0.474	states/eV/atom
formation energy without anion corrections	-2.096	eV/atom

Here is a geometry-optimized CaPa2PtO8 structure from Alexandria via LeMat-Bulk. Energies are from PBE.

Unit cell a=5.491 b=5.491 c=6.347 alpha=90.00 beta=90.00 gamma=120.00
Element x y z (fractional)
O 0.824 0.649 0.828
O 0.351 0.176 0.828
O 0.333 0.667 0.583
O 0.824 0.176 0.828
O 0.649 0.824 0.172
O 0.176 0.351 0.172
O 0.667 0.333 0.417
O 0.176 0.824 0.172
Ca 0.000 0.000 0.500
Pt 0.000 0.000 0.000
Pa 0.333 0.667 0.878
Pa 0.667 0.333 0.122

Properties
total moment	0.000	μB per cell
ρ	8.268	g cm⁻³
DOS(E_F)	0.000	states/eV/atom
formation energy without anion corrections	-2.351	eV/atom

Here is a geometry-optimized CaPuPaO6 structure from Alexandria via LeMat-Bulk. Energies are from PBE.

Unit cell a=5.701 b=5.701 c=9.534 alpha=90.00 beta=90.00 gamma=120.00
Site moments in Bohr magnetons follow the coordinates.
Element x y z (fractional)
O 0.970 0.308 0.127  -0.06
O 0.338 0.308 0.373  -0.06
O 0.692 0.030 0.373  -0.06
O 0.308 0.338 0.873  -0.06
O 0.308 0.970 0.627  -0.06
O 0.662 0.970 0.873  -0.06
O 0.970 0.662 0.373  -0.06
O 0.662 0.692 0.627  -0.06
O 0.692 0.662 0.127  -0.06
O 0.030 0.692 0.873  -0.06
O 0.338 0.030 0.127  -0.06
O 0.030 0.338 0.627  -0.06
Pu 0.667 0.333 0.250  3.35
Pu 0.333 0.667 0.750  3.35
Pa 0.000 0.000 0.500  0.01
Pa 0.000 0.000 0.000  0.01
Ca 0.333 0.667 0.250  0.01
Ca 0.667 0.333 0.750  0.01

Properties
total moment	6.000	μB per cell
ρ	7.562	g cm⁻³
DOS(E_F)	1.082	states/eV/atom
formation energy without anion corrections	-3.113	eV/atom

Here is a geometry-optimized Rb3Ca2PaO6 structure from Alexandria via LeMat-Bulk. Energies are from PBE.

Unit cell a=6.169 b=6.169 c=6.852 alpha=98.58 beta=98.58 gamma=119.99
Element x y z (fractional)
O 0.941 0.634 0.822
O 0.246 0.246 0.820
O 0.634 0.941 0.822
O 0.059 0.366 0.178
O 0.754 0.754 0.180
O 0.366 0.059 0.178
Rb 0.173 0.827 0.500
Rb 0.827 0.173 0.500
Rb 0.500 0.500 0.500
Ca 0.667 0.333 0.000
Ca 0.333 0.667 0.000
Pa 0.000 0.000 0.000

Properties
total moment	0.000	μB per cell
ρ	5.112	g cm⁻³
DOS(E_F)	0.000	states/eV/atom
formation energy without anion corrections	-2.609	eV/atom

Here is a geometry-optimized RbCa2Pa2O7 structure from Alexandria via LeMat-Bulk. Energies are from PBE.

Unit cell a=4.526 b=4.526 c=10.377 alpha=102.60 beta=102.60 gamma=90.00
Site moments in Bohr magnetons follow the coordinates.
Element x y z (fractional)
Pa 0.612 0.612 0.223  0.49
Pa 0.388 0.388 0.777  0.49
O 0.376 0.876 0.752  -0.01
O 0.124 0.624 0.248  -0.01
O 0.275 0.275 0.550  -0.01
O 0.876 0.376 0.752  -0.01
O 0.500 0.500 0.000  -0.01
O 0.725 0.725 0.450  -0.01
O 0.624 0.124 0.248  -0.01
Ca 0.250 0.750 0.500  0.01
Ca 0.750 0.250 0.500  0.01
Rb 0.000 0.000 0.000  0.00

Properties
total moment	1.001	μB per cell
ρ	6.074	g cm⁻³
DOS(E_F)	0.530	states/eV/atom
formation energy without anion corrections	-3.131	eV/atom

Here is a geometry-optimized Rb2Ca2PaO6 structure from Alexandria via LeMat-Bulk. Energies are from PBE.

Unit cell a=6.621 b=6.621 c=7.416 alpha=63.49 beta=63.49 gamma=60.00
Site moments in Bohr magnetons follow the coordinates.
Element x y z (fractional)
Ca 0.391 0.391 0.828  0.02
Ca 0.609 0.609 0.172  0.02
O 0.776 0.219 0.787  0.14
O 0.219 0.219 0.787  0.14
O 0.224 0.781 0.213  0.14
O 0.219 0.776 0.787  0.14
O 0.781 0.781 0.213  0.14
O 0.781 0.224 0.213  0.14
Rb 0.808 0.808 0.577  0.00
Rb 0.192 0.192 0.423  0.00
Pa 0.000 0.000 0.000  0.09

Properties
total moment	1.119	μB per cell
ρ	3.979	g cm⁻³
DOS(E_F)	0.963	states/eV/atom
formation energy without anion corrections	-2.392	eV/atom

Here is a geometry-optimized Ca2PaReO8 structure from Alexandria via LeMat-Bulk. Energies are from PBE.

Unit cell a=5.097 b=5.094 c=6.739 alpha=90.00 beta=90.00 gamma=92.27
Element x y z (fractional)
O 0.716 0.716 0.500
O 0.737 0.737 0.000
O 0.825 0.176 0.214
O 0.263 0.263 0.000
O 0.284 0.284 0.500
O 0.175 0.824 0.786
O 0.175 0.824 0.214
O 0.825 0.176 0.786
Re 0.000 0.000 0.000
Ca 0.500 0.500 0.759
Ca 0.500 0.500 0.241
Pa 0.000 0.000 0.500

Properties
total moment	0.000	μB per cell
ρ	5.940	g cm⁻³
formation energy without anion corrections	-2.686	eV/atom

Here is a geometry-optimized CaPaReO6 structure from Alexandria via LeMat-Bulk. Energies are from PBE.

Unit cell a=5.568 b=5.568 c=9.808 alpha=90.00 beta=90.00 gamma=120.00
Site moments in Bohr magnetons follow the coordinates.
Element x y z (fractional)
O 0.372 0.344 0.360  0.04
O 0.656 0.628 0.140  0.04
O 0.628 0.973 0.860  0.04
O 0.344 0.973 0.640  0.04
O 0.656 0.027 0.360  0.04
O 0.628 0.656 0.640  0.04
O 0.027 0.656 0.860  0.04
O 0.344 0.372 0.860  0.04
O 0.372 0.027 0.140  0.04
O 0.973 0.628 0.360  0.04
O 0.973 0.344 0.140  0.04
O 0.027 0.372 0.640  0.04
Ca 0.000 0.000 0.000  0.02
Ca 0.000 0.000 0.500  0.02
Re 0.333 0.667 0.750  1.36
Re 0.667 0.333 0.250  1.36
Pa 0.667 0.333 0.750  0.22
Pa 0.333 0.667 0.250  0.22

Properties
total moment	4.001	μB per cell
ρ	6.977	g cm⁻³
DOS(E_F)	0.630	states/eV/atom
formation energy without anion corrections	-2.616	eV/atom

Here is a geometry-optimized CaPaRhO6 structure from Alexandria via LeMat-Bulk. Energies are from PBE.

Unit cell a=4.810 b=5.407 c=5.407 alpha=120.00 beta=90.00 gamma=90.00
Site moments in Bohr magnetons follow the coordinates.
Element x y z (fractional)
O 0.260 0.289 0.314  0.13
O 0.740 0.025 0.314  0.13
O 0.260 0.025 0.711  0.13
O 0.740 0.686 0.711  0.13
O 0.740 0.289 0.975  0.13
O 0.260 0.686 0.975  0.13
Pa 0.000 0.333 0.667  0.02
Ca 0.500 0.667 0.333  0.00
Rh 0.500 0.000 0.000  0.83

Properties
total moment	1.801	μB per cell
ρ	6.409	g cm⁻³
DOS(E_F)	0.681	states/eV/atom
formation energy without anion corrections	-2.216	eV/atom